1.
Computed, not measured: a relaxed BiIrSe2 crystal at the GGA-PBE level of DFT.

a b c (Å): 7.5608 7.5608 6.1868
angles (deg): 52.33 52.33 90.00
Sites, in units of the cell vectors:
Se1 0.5565 0.1250 0.2500
Se2 0.8750 0.8065 0.7500
Se3 0.3750 0.4435 0.7500
Se4 0.1935 0.6250 0.2500
Bi1 0.0000 0.0000 0.0000
Bi2 0.7500 0.2500 0.5000
Ir1 0.2500 0.7500 0.5000
Ir2 0.5000 0.5000 0.0000

Properties
Its space-group type is I-42d. Its density is 10433 kg/m³. For the density of states at the Fermi level, the calculation gives 0.7 states/eV/f.u. As for the uncorrected formation energy: 0.04 eV per atom.

2.
Computed, not measured: a relaxed CeUGaTc crystal at the GGA-PBE level of DFT.

a b c (Å): 4.7851 4.7851 4.7851
angles (deg): 60.00 60.00 60.00
Each line ends with the local moment (μB).
Sites, in units of the cell vectors:
Ga1 0.2500 0.2500 0.2500  -0.02
Ce1 0.0000 0.0000 0.0000  0.67
U1 0.7500 0.7500 0.7500  1.84
Tc1 0.5000 0.5000 0.5000  -0.37

Properties
Its space-group type is F-43m. Its density is 11700 kg/m³. The calculation puts the calculated total energy at -30.93 eV per cell. For the density of states at the Fermi level, the calculation gives 10.5 states/eV/f.u.

3.
Computed, not measured: a relaxed CaZn2Ni crystal at the GGA-PBE level of DFT.

a b c (Å): 4.2434 4.2434 5.6037
angles (deg): 67.64 67.64 60.08
Sites, in units of the cell vectors:
Zn1 0.6985 0.6985 0.9052
Zn2 0.9836 0.9836 0.0491
Ca1 0.5038 0.5038 0.4881
Ni1 0.3142 0.3142 0.0576

Properties
Its space-group type is Cm. Its density is 4853 kg/m³. The calculation puts the calculated total energy at -11.29 eV per cell. For the density of states at the Fermi level, the calculation gives 2.3 states/eV/f.u.

4.
Computed, not measured: a relaxed HfSc2CrS6 crystal at the GGA-PBE level of DFT.

a b c (Å): 6.3540 6.3543 6.8998
angles (deg): 62.58 62.59 60.02
Each line ends with the local moment (μB).
Sites, in units of the cell vectors:
Sc1 0.0123 0.0122 0.9632  0.06
Sc2 0.5113 0.5114 0.4659  0.12
S1 0.4267 0.7168 0.7584  -0.02
S2 0.0980 0.4266 0.7584  -0.02
S3 0.9282 0.5956 0.2511  -0.02
S4 0.2251 0.9284 0.2510  -0.02
S5 0.7169 0.0981 0.7583  -0.02
S6 0.5956 0.2251 0.2510  -0.02
Hf1 0.8239 0.8239 0.5284  0.18
Cr1 0.3235 0.3235 0.0296  3.30

Properties
Its space-group type is R3. Its density is 4167 kg/m³. For the density of states at the Fermi level, the calculation gives 3.7 states/eV/f.u. As for the uncorrected formation energy: -1.47 eV per atom.

5.
Computed, not measured: a relaxed Y13Ho3O24 crystal at the GGA-PBE level of DFT.

a b c (Å): 9.2509 9.2528 9.2539
angles (deg): 109.47 109.46 109.45
Sites, in units of the cell vectors:
O1 0.0105 0.2735 0.0426
O2 0.2715 0.0423 0.0112
O3 0.2710 0.2284 0.7395
O4 0.5321 0.5430 0.7697
O5 0.2267 0.7377 0.2697
O6 0.7284 0.9577 0.9888
O7 0.2609 0.7292 0.7719
O8 0.5128 0.9703 0.2417
O9 0.9892 0.7268 0.9574
O10 0.7620 0.4884 0.0315
O11 0.4888 0.0316 0.7603
O12 0.7695 0.5303 0.5425
O13 0.0429 0.0115 0.2721
O14 0.4583 0.2306 0.4682
O15 0.7287 0.7713 0.2599
O16 0.7732 0.2624 0.7287
O17 0.4679 0.4570 0.2303
O18 0.2306 0.4678 0.4572
O19 0.9673 0.2397 0.5112
O20 0.7390 0.2707 0.2293
O21 0.2382 0.5113 0.9684
O22 0.9573 0.9888 0.7284
O23 0.0311 0.7603 0.4888
O24 0.5429 0.7696 0.5318
Ho1 0.7171 0.2507 0.4674
Ho2 0.9999 0.5000 0.9994
Ho3 0.5002 0.4998 0.5000
Y1 0.9673 0.2177 0.2501
Y2 0.2170 0.2502 0.9676
Y3 0.5001 0.0002 0.0004
Y4 0.7497 0.5323 0.2826
Y5 0.0322 0.7819 0.7499
Y6 0.7830 0.7498 0.0323
Y7 0.5333 0.2832 0.7496
Y8 0.4669 0.7171 0.2502
Y9 0.9995 0.0001 0.5000
Y10 0.7499 0.0332 0.7824
Y11 0.2826 0.7493 0.5324
Y12 0.2499 0.4671 0.7171
Y13 0.2504 0.9674 0.2178

Properties
Its space-group type is P1. Its density is 5539 kg/m³. For the density of states at the Fermi level, the calculation gives 0.0 states/eV/f.u. As for the uncorrected formation energy: -3.56 eV per atom.

6.
Computed, not measured: a relaxed ZrTl2Se2 crystal at the GGA-PBE level of DFT.

a b c (Å): 7.9618 7.9618 4.0372
angles (deg): 90.00 90.00 90.00
Sites, in units of the cell vectors:
Tl1 0.6333 0.1333 0.0000
Tl2 0.1333 0.3667 0.0000
Tl3 0.8667 0.6333 0.0000
Tl4 0.3667 0.8667 0.0000
Se1 0.1818 0.6818 0.5000
Se2 0.3182 0.1818 0.5000
Se3 0.6818 0.8182 0.5000
Se4 0.8182 0.3182 0.5000
Zr1 0.0000 0.0000 0.0000
Zr2 0.5000 0.5000 0.0000

Properties
Its space-group type is P4/mbm. Its density is 8538 kg/m³. For the density of states at the Fermi level, the calculation gives 2.0 states/eV/f.u. As for the uncorrected formation energy: 0.09 eV per atom.

7.
Computed, not measured: a relaxed LiFe2Te crystal at the GGA-PBE level of DFT.

a b c (Å): 4.3050 4.3050 4.3050
angles (deg): 120.03 119.97 90.00
Each line ends with the local moment (μB).
Sites, in units of the cell vectors:
Li1 0.5000 0.5000 0.0000  -0.02
Fe1 0.7501 0.2501 0.5000  2.79
Fe2 0.9999 0.9999 0.0000  1.99
Te1 0.2500 0.7500 0.5000  0.06

Properties
Its space-group type is F-43m. Its density is 7247 kg/m³. For the density of states at the Fermi level, the calculation gives 1.3 states/eV/f.u. As for the uncorrected formation energy: 0.06 eV per atom.

8.
Computed, not measured: a relaxed AsH crystal at the GGA-PBE level of DFT.

a b c (Å): 8.0020 4.4738 7.8361
angles (deg): 90.00 90.00 90.00
Sites, in units of the cell vectors:
H1 0.4102 0.9666 0.5070
H2 0.0898 0.0334 0.0070
H3 0.5898 0.4666 0.9930
H4 0.2503 0.2730 0.3439
H5 0.7497 0.7730 0.1561
H6 0.9102 0.5334 0.4930
H7 0.2497 0.7270 0.8439
H8 0.7503 0.2270 0.6561
As1 0.1928 0.4601 0.7320
As2 0.8072 0.9601 0.7680
As3 0.6928 0.0399 0.2680
As4 0.9801 0.2991 0.9475
As5 0.5199 0.7009 0.4475
As6 0.4801 0.2009 0.0525
As7 0.0199 0.7991 0.5525
As8 0.3072 0.5399 0.2320

Properties
Its space-group type is P2_12_12_1. Its density is 3596 kg/m³. The calculation puts the calculated total energy at -62.74 eV per cell. For the density of states at the Fermi level, the calculation gives 0.0 states/eV/f.u.

9.
Computed, not measured: a relaxed Cd2SbSe crystal at the GGA-PBE level of DFT.

a b c (Å): 6.9827 6.9827 6.9827
angles (deg): 148.63 143.97 48.51
Sites, in units of the cell vectors:
Se1 0.2809 0.7809 0.5000
Cd1 0.0436 0.0436 0.0000
Cd2 0.7120 0.2120 0.5000
Sb1 0.4635 0.4635 0.0000

Properties
Its space-group type is Imm2. Its density is 6807 kg/m³. For the density of states at the Fermi level, the calculation gives 1.3 states/eV/f.u. As for the uncorrected formation energy: 0.02 eV per atom.

10.
Computed, not measured: a relaxed KBiPd crystal at the GGA-PBE level of DFT.

a b c (Å): 5.0307 5.0307 7.6787
angles (deg): 88.06 88.06 93.15
Sites, in units of the cell vectors:
K1 0.2444 0.2444 0.6627
K2 0.7556 0.7556 0.3373
Pd1 0.2015 0.7985 0.0000
Pd2 0.7985 0.2015 0.0000
Bi1 0.7089 0.7089 0.8543
Bi2 0.2911 0.2911 0.1457

Properties
Its space-group type is C2/m. Its density is 6075 kg/m³. The calculation puts the calculated total energy at -22.42 eV per cell. For the density of states at the Fermi level, the calculation gives 1.5 states/eV/f.u.

11.
Computed, not measured: a relaxed KPm2Pu3Te6 crystal at the GGA-PBE level of DFT.

a b c (Å): 4.4732 9.1226 10.0770
angles (deg): 102.76 102.82 90.00
Each line ends with the local moment (μB).
Sites, in units of the cell vectors:
Te1 0.3273 0.9120 0.6545  -0.06
Te2 0.6656 0.5870 0.3312  -0.05
Te3 0.0021 0.2660 0.0042  -0.07
Te4 0.6727 0.0880 0.3455  -0.06
Te5 0.9979 0.7340 0.9958  -0.07
Te6 0.3344 0.4130 0.6688  -0.05
Pm1 0.8320 0.6627 0.6640  0.10
Pm2 0.1680 0.3373 0.3360  0.10
K1 0.5000 0.0000 0.0000  0.00
Pu1 0.1636 0.8335 0.3271  5.56
Pu2 0.5000 0.5000 0.0000  5.46
Pu3 0.8364 0.1665 0.6729  5.56

Properties
Its space-group type is C2/m. Its density is 7767 kg/m³. For the density of states at the Fermi level, the calculation gives 36.1 states/eV/f.u. As for the uncorrected formation energy: -1.21 eV per atom.

12.
Computed, not measured: a relaxed TmPaCo2 crystal at the GGA-PBE level of DFT.

a b c (Å): 3.6870 3.6870 6.8964
angles (deg): 74.50 74.50 60.00
Sites, in units of the cell vectors:
Pa1 0.0000 0.0000 0.0000
Tm1 0.5000 0.5000 0.5000
Co1 0.7424 0.7424 0.7729
Co2 0.2576 0.2576 0.2271

Properties
Its space-group type is R-3m. Its density is 11135 kg/m³. The calculation puts the calculated total energy at -29.11 eV per cell. For the density of states at the Fermi level, the calculation gives 2.5 states/eV/f.u.

| no. | total magnetic moment (Bohr magnetons per cell) |
| --- | --- |
| 1 | 0.00 |
| 2 | 2.29 |
| 3 | 0.00 |
| 4 | 4.04 |
| 5 | 0.00 |
| 6 | 0.00 |
| 7 | 4.80 |
| 8 | 0.00 |
| 9 | 0.00 |
| 10 | 0.00 |
| 11 | 17.67 |
| 12 | 0.00 |